Below is an optimized crystal structure of Te2RuW, with properties calculated at the PBE level.

E_form (uncorrected) = 540 meV per atom
D(E_F) = 2.91 states/eV per cell

Cell lengths 4.7087, 4.7087, 4.7087 Å; angles 60.00, 60.00, 60.00 degrees
Positions (direct):
Te: 0.2500 0.2500 0.2500
Te: 0.7500 0.7500 0.7500
Ru: 0.0000 0.0000 0.0000
W: 0.5000 0.5000 0.5000

---

Below is an optimized crystal structure of Te2RuW, with properties calculated at the PBE level.

E_form (uncorrected) = 809 meV per atom
D(E_F) = 8.22 states/eV per cell

Cell lengths 7.2949, 7.2949, 7.2949 Å; angles 131.17, 131.17, 71.55 degrees
Positions (direct):
Te: 0.1148 0.6250 0.9898
Te: 0.3750 0.3648 0.4898
Te: 0.6352 0.1250 0.0102
Te: 0.8750 0.8852 0.5102
Ru: 0.0000 0.0000 0.0000
Ru: 0.7500 0.2500 0.5000
W: 0.2500 0.7500 0.5000
W: 0.5000 0.5000 0.0000